Entry 1:
# Ba2La

A relaxed Ba2La crystal (PBE-GGA, the Alexandria database).

- Density: 4.38 Mg/m³
- Symmetry: C2/m, No. 12
- Magnetization: 0.00 μB/cell
- Relative energy among the computed polymorphs: 0 meV per atom
- Energy relative to the elements: 0.13 eV per atom

Cell lengths 7.426, 7.426, 11.582 Å; angles 67.16, 67.16, 32.43 degrees
Atoms (fractional coordinates):
Ba 0.992 0.992 0.707
Ba 0.338 0.338 0.092
Ba 0.662 0.662 0.908
Ba 0.008 0.008 0.293
La 0.698 0.698 0.417
La 0.302 0.302 0.583

---

Entry 2:
# Ba5La

A relaxed Ba5La crystal (PBE-GGA, the Alexandria database).

- Density: 4.01 Mg/m³
- Symmetry: Cm, No. 8
- Magnetization: 0.02 μB/cell
- Relative energy among the computed polymorphs: 0 meV per atom
- Energy relative to the elements: 0.11 eV per atom

Cell lengths 8.227, 8.227, 10.261 Å; angles 74.33, 74.33, 30.80 degrees
Atoms (fractional coordinates):
Ba 0.988 0.988 0.000
Ba 0.326 0.326 0.337
Ba 0.672 0.672 0.692
Ba 0.617 0.617 0.250
Ba 0.948 0.948 0.614
La 0.282 0.282 0.940

---

Entry 3:
# BaLa2

A relaxed BaLa2 crystal (PBE-GGA, the Alexandria database).

- Density: 6.02 Mg/m³
- Symmetry: Pa-3, No. 205
- Magnetization: 0.00 μB/cell
- Relative energy among the computed polymorphs: 530 meV per atom
- Energy relative to the elements: 0.63 eV per atom

Cell lengths 7.707, 7.707, 7.707 Å; angles 90.00, 90.00, 90.00 degrees
Atoms (fractional coordinates):
Ba 0.000 0.000 0.000
Ba 0.500 0.500 0.000
Ba 0.500 0.000 0.500
Ba 0.000 0.500 0.500
La 0.612 0.612 0.388
La 0.388 0.388 0.612
La 0.112 0.888 0.612
La 0.888 0.112 0.388
La 0.388 0.112 0.112
La 0.612 0.888 0.888
La 0.888 0.388 0.888
La 0.112 0.612 0.112

---

Entry 4:
# BaLa2

A relaxed BaLa2 crystal (PBE-GGA, the Alexandria database).

- Density: 5.09 Mg/m³
- Symmetry: Fd-3m, No. 227
- Magnetization: 0.01 μB/cell
- Relative energy among the computed polymorphs: 130 meV per atom
- Energy relative to the elements: 0.23 eV per atom

Cell lengths 7.264, 7.264, 7.264 Å; angles 60.00, 60.00, 60.00 degrees
Atoms (fractional coordinates):
Ba 0.500 0.500 0.500
Ba 0.750 0.750 0.750
La 0.625 0.125 0.125
La 0.125 0.625 0.125
La 0.125 0.125 0.625
La 0.125 0.125 0.125

---

Q: Among the records above, which one has the highest relative energy among the computed polymorphs?
A: number 3

---

Q: What is the formula in the fourth record?
A: BaLa2

---

Q: The lowest density belongs to which entry?
A: Ba5La

---

Q: relative energy among the computed polymorphs of number 4 (BaLa2)?
A: 130 meV per atom